This record from the Open Quantum Materials Database describes an optimized crystal structure of HfZnPd2. The functional is PBE.

## Properties
E_form, eV/atom: -0.649
Space group: P6_3/mmc, No. 194
Magnetic moment, μB per cell: 0.003

a b c (Å): 4.304 4.304 8.530
angles (deg): 90.00 90.00 120.00
Atoms (fractional coordinates):
Hf 0.333 0.667 0.250
Hf 0.667 0.333 0.750
Zn 0.000 0.000 0.000
Zn 0.000 0.000 0.500
Pd 0.333 0.667 0.589
Pd 0.333 0.667 0.911
Pd 0.667 0.333 0.089
Pd 0.667 0.333 0.411